Compound: Ba2CeFeO5
Source: Alexandria via LeMat-Bulk
Functional: PBE with a Hubbard U
Structure: relaxed

## Properties
Total DFT energy (no corrections), eV per cell: -253.63

Cell lengths 3.6550, 14.9893, 11.4695 Å; angles 90.00, 90.00, 90.00 degrees
Last column: nearest neighbours and their distance in Å.
Space group Cmc2_1 (No. 36)
Inequivalent atoms, fractional coordinates:
Ba: 0.0000 0.0998 0.0000 x4  6 O 2.71-2.83
Ba: 0.0000 0.1317 0.6392 x4  7 O 2.68-2.95
Ce: 0.0000 0.2051 0.3437 x4  6 O 2.17-2.33
Fe: 0.0000 0.4562 0.7688 x4  3 O 1.92-2.08
O: 0.0000 0.0515 0.3555 x4  2 Fe 2.08, 1 Ce 2.31
O: 0.0000 0.2846 0.9693 x4  2 Ce 2.33
O: 0.0000 0.3127 0.7215 x4  1 Fe 2.22, 2 Ce 2.32
O: 0.0000 0.3488 0.3242 x4  1 Ce 2.17
O: 0.0000 0.4975 0.1123 x4  1 Fe 1.92